A relaxed K2YCl crystal. Source: Alexandria via LeMat-Bulk, functional GGA-PBE.

SG: Pm, No. 6
Spin magnetization (μB per formula unit): 0.57
Density of states at the Fermi level (states/eV per cell): 3.13
Total energy (eV for the cell shown): -12.6
Formation energy (no corrections) (meV/atom): -520

a b c (Å): 3.6800 3.8294 11.6903
angles (deg): 80.60 90.00 90.00
Closest atoms and distances in Å follow each position.
Fractional coordinates of all 4 atoms:
1 Y 0.0000 0.6559 0.5609  2 Cl 2.86
2 K 0.0000 0.9796 0.9174  4 Cl 3.28-3.29
3 K 0.5000 0.3034 0.2714  4 K 3.68-3.83
4 Cl 0.5000 0.5611 0.7503  2 Y 2.86